[1]
The following is a PBE calculation of a geometry-optimized Ba2Al2Si2H structure, from Alexandria via LeMat-Bulk.

extended XYZ file:
```
7
Lattice="4.2614 0.0000 0.0000 2.1307 6.2057 0.2689 2.1307 1.6013 6.2984" Properties=species:S:1:pos:R:3 pbc="T T T"
Ba 4.2614 2.3055 4.4476
Ba 4.2614 5.5015 2.1197
Si 6.3921 5.1466 4.7567
Si 2.1307 2.6605 1.8107
Al 4.2614 5.6715 5.9777
Al 4.2614 2.1355 0.5897
H 0.0000 0.0000 0.0000
```

Computed properties:
VASP energy (eV per atom): -3.970

=====

[2]
The following is a PBE calculation of a geometry-optimized Ba2AlSiH structure, from Alexandria via LeMat-Bulk.

extended XYZ file:
```
10
Lattice="-0.3328 -3.5941 -2.4993 2.0971 -3.6785 5.0107 -10.4115 1.0227 -0.0844" Properties=species:S:1:pos:R:3 pbc="T T T"
Ba -4.4595 -5.0208 2.0299
Ba -4.1877 -1.2291 0.3971
Ba -9.2067 -0.7599 0.3907
Ba 0.5595 -5.4900 2.0363
H -2.8758 -3.0957 -0.9494
H -5.7715 -3.1542 3.3764
Si -1.8175 -2.8299 2.3834
Si -6.8297 -3.4201 0.0436
Al -7.0129 -2.3708 2.4150
Al -1.6344 -3.8792 0.0120
```

Computed properties:
VASP energy (eV per atom): -3.628

=====

[3]
The following is a PBE calculation of a geometry-optimized Ba2AlSn2H4 structure, from Alexandria via LeMat-Bulk.

extended XYZ file:
```
9
Lattice="6.4211 -0.1044 -0.1648 -2.6749 5.8384 0.1648 -2.6749 -2.3432 5.3501" Properties=species:S:1:pos:R:3 pbc="T T T"
H -2.6749 -0.8792 4.4223
H 1.3406 0.5880 0.9278
H -2.6749 4.3745 1.0926
H -0.2693 2.8028 4.4223
Ba 0.5357 3.7408 1.3787
Ba 0.5357 -0.3500 3.9714
Sn -1.8395 1.2018 1.8963
Sn -3.5103 2.2934 3.6186
Al 0.0000 0.0000 0.0000
```

Computed properties:
VASP energy (eV per atom): -3.287

=====

[4]
The following is a PBE calculation of a geometry-optimized BaAlSnH2 structure, from Alexandria via LeMat-Bulk.

extended XYZ file:
```
10
Lattice="4.6189 0.0000 0.0000 -2.3095 6.1272 0.0000 0.0000 0.0000 6.5881" Properties=species:S:1:pos:R:3 pbc="T T T"
H 2.3095 4.4204 0.4107
H 2.3095 4.4204 2.8833
H 0.0000 1.7068 6.1774
H 0.0000 1.7068 3.7047
Ba 2.3095 2.6442 4.9411
Ba 0.0000 3.4830 1.6470
Al 0.0000 0.0000 3.2940
Al 0.0000 0.0000 0.0000
Sn 2.3095 0.7504 1.6470
Sn 0.0000 5.3768 4.9411
```

Computed properties:
VASP energy (eV per atom): -3.552

=====

[5]
The following is a PBE calculation of a geometry-optimized Ba2SrAlH structure, from Alexandria via LeMat-Bulk.

extended XYZ file:
```
5
Lattice="5.5312 0.0000 0.0000 0.0000 5.5312 0.0000 0.0000 0.0000 5.4164" Properties=species:S:1:pos:R:3 pbc="T T T"
Sr 0.0000 0.0000 2.7082
Al 2.7656 2.7656 2.7082
Ba 2.7656 0.0000 0.0000
Ba 0.0000 2.7656 0.0000
H 0.0000 0.0000 0.0000
```

Computed properties:
VASP energy (eV per atom): -2.648

=====

[6]
The following is a PBE calculation of a geometry-optimized BaAlTcH2 structure, from Alexandria via LeMat-Bulk.

extended XYZ file:
```
5
Lattice="4.2370 0.0000 0.0000 0.0000 5.4700 0.0000 0.0000 0.0000 4.2370" Properties=species:S:1:pos:R:3 pbc="T T T"
H 0.0000 0.0000 2.1185
H 2.1185 0.0000 0.0000
Ba 0.0000 2.7350 0.0000
Al 2.1185 2.7350 2.1185
Tc 0.0000 0.0000 0.0000
```

Computed properties:
VASP energy (eV per atom): -3.415

=====

[7]
The following is a PBE calculation of a geometry-optimized Ba2TiAlH structure, from Alexandria via LeMat-Bulk.

extended XYZ file:
```
5
Lattice="-3.4935 -3.4840 2.9541 -1.2937 -1.7449 -3.5878 4.2094 -3.8997 0.3787" Properties=species:S:1:pos:R:3 pbc="T T T"
Ti -0.6469 -0.8725 -1.7939
Ba -1.7467 -1.7420 1.4771
Ba 2.1047 -1.9498 0.1894
Al -0.2889 -4.5643 -0.1275
H 0.0000 0.0000 0.0000
```

Computed properties:
VASP energy (eV per atom): -3.586

=====

[8]
The following is a PBE calculation of a geometry-optimized BaAlZnH6 structure, from Alexandria via LeMat-Bulk.

extended XYZ file:
```
9
Lattice="4.8720 0.4621 -0.0366 2.7917 4.8932 -0.0766 -0.0396 -0.0704 4.9591" Properties=species:S:1:pos:R:3 pbc="T T T"
H 4.0891 2.6039 3.4352
H 2.3197 0.7072 3.7931
H 1.8695 3.1830 3.1410
H 0.9631 1.5911 1.7396
H 3.3270 2.4675 1.0935
H 5.3848 4.8712 1.3755
Al 2.5809 1.7231 2.4420
Ba 4.8214 0.3971 4.9213
Zn 5.1003 3.5257 2.4011
```

Computed properties:
VASP energy (eV per atom): -3.114

=====

[9]
The following is a PBE calculation of a geometry-optimized BaZrAl2H structure, from Alexandria via LeMat-Bulk.

extended XYZ file:
```
5
Lattice="-3.7613 1.5264 2.1914 -2.5739 -0.6672 -3.9530 -0.9597 -4.3049 1.3515" Properties=species:S:1:pos:R:3 pbc="T T T"
Ba -1.2869 -0.3336 -1.9765
Zr -3.6474 -1.7229 -0.2051
Al -0.4798 -2.1525 0.6757
Al -1.8807 0.7632 1.0957
H 0.0000 0.0000 0.0000
```

Computed properties:
VASP energy (eV per atom): -4.011

=====

[10]
The following is a PBE calculation of a geometry-optimized BaHf3Al structure, from Alexandria via LeMat-Bulk.

extended XYZ file:
```
5
Lattice="5.2562 0.0000 0.0000 0.0000 5.2562 0.0000 0.0000 0.0000 5.2562" Properties=species:S:1:pos:R:3 pbc="T T T"
Hf 0.0000 0.0000 2.6281
Hf 0.0000 2.6281 0.0000
Hf 2.6281 0.0000 0.0000
Al 2.6281 2.6281 2.6281
Ba 0.0000 0.0000 0.0000
```

Computed properties:
Energy of formation (eV/atom): 2.10
Energy relative to the lowest polymorph listed for this composition (meV per atom): 1286.9

=====

[11]
The following is a PBE calculation of a geometry-optimized BaHf2Al2 structure, from Alexandria via LeMat-Bulk.

extended XYZ file:
```
10
Lattice="8.7855 0.0000 0.0000 0.0000 8.7855 0.0000 0.0000 0.0000 3.0723" Properties=species:S:1:pos:R:3 pbc="T T T"
Al 7.3186 2.9258 1.5361
Al 2.9258 1.4669 1.5361
Al 1.4669 5.8596 1.5361
Al 5.8596 7.3186 1.5361
Hf 5.4734 1.0807 0.0000
Hf 7.7047 5.4734 0.0000
Hf 1.0807 3.3120 0.0000
Hf 3.3120 7.7047 0.0000
Ba 0.0000 0.0000 0.0000
Ba 4.3927 4.3927 0.0000
```

Computed properties:
Energy of formation (eV/atom): -0.01

=====

[12]
The following is a PBE calculation of a geometry-optimized BaHfAl3 structure, from Alexandria via LeMat-Bulk.

extended XYZ file:
```
5
Lattice="5.3826 0.0000 0.0000 0.0000 5.3826 0.0000 0.0000 0.0000 5.3826" Properties=species:S:1:pos:R:3 pbc="T T T"
Al 0.0000 0.0000 2.6913
Al 0.0000 2.6913 0.0000
Al 2.6913 0.0000 0.0000
Ba 0.0000 0.0000 0.0000
Hf 2.6913 2.6913 2.6913
```

Computed properties:
Energy of formation (eV/atom): 1.83
Energy relative to the lowest polymorph listed for this composition (meV per atom): 1574.8